This record from Alexandria via LeMat-Bulk describes an optimized crystal structure of LaZrCo4. The functional is PBE-GGA.

Structure (POSCAR):
```
LaZrCo4
1.0
0.0000 3.5418 3.5418
3.5418 0.0000 3.5418
3.5418 3.5418 0.0000
Co Zr La
4 1 1
direct
0.6260 0.1220 0.6260 Co
0.6260 0.6260 0.1220 Co
0.6260 0.6260 0.6260 Co
0.1220 0.6260 0.6260 Co
0.0000 0.0000 0.0000 Zr
0.2500 0.2500 0.2500 La
```

D(E_F), states/eV/cell: 6.35
DFT total energy, eV per atom: -7.07
ΔE_f, meV per atom: -83

This record from Alexandria via LeMat-Bulk describes an optimized crystal structure of LiPuZr2N4. The functional is PBE-GGA.

Structure (POSCAR):
```
LiPuZr2N4
1.0
3.3165 0.0000 0.0000
0.0000 5.5856 0.1680
0.0000 -1.8873 5.4263
N Zr Li Pu
4 2 1 1
direct
0.0000 0.2296 0.7276 N
0.5000 0.2547 0.2649 N
0.0000 0.7704 0.2724 N
0.5000 0.7453 0.7351 N
0.0000 0.5000 0.5000 Zr
0.5000 0.0000 0.5000 Zr
0.5000 0.5000 0.0000 Li
0.0000 0.0000 0.0000 Pu
```

D(E_F), states/eV/cell: 7.21
Formation energy from raw total energies, eV per atom: -1.35
DFT total energy, eV per atom: -9.68

This record from Alexandria via LeMat-Bulk describes an optimized crystal structure of SrLi2MnBr6. The functional is PBE-GGA.

Structure (POSCAR):
```
SrLi2MnBr6
1.0
7.0665 -0.0008 0.0007
3.5325 6.1186 0.0012
3.5332 2.0404 6.4767
Br Li Sr Mn
6 2 1 1
direct
0.7271 0.1363 0.7632 Br
0.3733 0.7272 0.7632 Br
0.1363 0.3733 0.7633 Br
0.5878 0.2492 0.2397 Br
0.9234 0.5878 0.2397 Br
0.2492 0.9234 0.2397 Br
0.0107 0.0107 0.9675 Li
0.5160 0.5162 0.4516 Li
0.8153 0.8152 0.5542 Sr
0.3224 0.3224 0.0332 Mn
```

D(E_F), states/eV/cell: 0.00
Formation energy from raw total energies, eV per atom: -1.44
DFT total energy, eV per atom: -3.91

This record from Alexandria via LeMat-Bulk describes an optimized crystal structure of LiSi2Os. The functional is PBE-GGA.

Structure (POSCAR):
```
LiSi2Os
1.0
4.2307 0.0010 0.0033
3.1893 2.7799 0.0033
0.7670 0.2874 4.8863
Si Li Os
2 1 1
direct
0.9863 0.9863 0.0434 Si
0.5137 0.5137 0.4566 Si
0.7500 0.7500 0.7500 Li
0.2500 0.2500 0.2500 Os
```

D(E_F), states/eV/cell: 2.50
Formation energy from raw total energies, eV per atom: -0.17
DFT total energy, eV per atom: -6.17

This record from Alexandria via LeMat-Bulk describes an optimized crystal structure of YSi2W. The functional is PBE-GGA.

Structure (POSCAR):
```
YSi2W
1.0
3.2461 0.0000 0.0000
0.0000 3.2438 0.0465
0.0000 3.1371 6.7052
Y Si W
1 2 1
direct
0.5000 0.7500 0.7500 Y
0.0000 0.5578 0.4424 Si
0.0000 0.9422 0.0576 Si
0.5000 0.2500 0.2500 W
```

D(E_F), states/eV/cell: 2.66
Formation energy from raw total energies, eV per atom: -0.23
DFT total energy, eV per atom: -7.79

This record from Alexandria via LeMat-Bulk describes an optimized crystal structure of AgSnAs. The functional is PBE-GGA.

Structure (POSCAR):
```
AgSnAs
1.0
3.9137 0.0000 0.0000
0.0000 3.9137 0.0000
-1.9568 -1.9568 4.3809
Ag As Sn
1 1 1
direct
0.9466 0.9466 0.8933 Ag
0.6313 0.6313 0.2627 As
0.2720 0.2720 0.5440 Sn
```

D(E_F), states/eV/cell: 0.90
DFT total energy, eV per atom: -3.67
ΔE_f, meV per atom: 167